Below is a relaxed structure of PrEr2PuS4, with properties calculated at the PBE level.

```
PrEr2PuS4
1.0
-0.333 2.419 3.069
-5.134 -3.791 2.431
5.947 -2.387 2.527
S Er Pu Pr
4 2 1 1
Cartesian
-2.285 -3.467 2.484
3.098 -2.712 2.474
0.398 -3.343 5.184
0.082 -0.417 2.843
2.807 0.016 2.798
0.406 -3.089 2.479
-2.734 -0.686 2.750
0.000 0.000 0.000
```

Results
Formation energy without anion corrections (eV per atom): -1.94
Space group: No. 10
Electronic total energy (eV/atom): -7.538
V (Å³ per atom): 21.80
Crystal system: monoclinic